# 1
A relaxed structure of MgInSnHg. Source: the Alexandria database, functional PBE.

Cell: 3.328 3.328 9.016 Å, 90.00 90.00 90.00°
Fractional coordinates of all 4 atoms:
1 Mg 0.000 0.000 0.000
2 In 0.000 0.000 0.520
3 Sn 0.500 0.500 0.239
4 Hg 0.500 0.500 0.784

Values from the calculation:
D(E_F): 2.7 states/eV per cell
Theoretical density: 7.62 g cm⁻³
Crystal system: tetragonal
M_tot: 0.0000 μB/atom
Energy relative to the elements: -0.058 eV per atom

=====

# 2
A relaxed structure of Mg5InSnHg2. Source: the Alexandria database, functional PBE.

Cell: 10.095 10.095 10.095 Å, 138.80 138.80 59.69°
Fractional coordinates of all 18 atoms:
1 Mg 0.000 0.000 0.000
2 Mg 0.062 0.562 0.875
3 Mg 0.187 0.062 0.500
4 Mg 0.313 0.813 0.875
5 Mg 0.438 0.313 0.500
6 Mg 0.500 0.500 0.000
7 Mg 0.562 0.687 0.500
8 Mg 0.687 0.187 0.125
9 Mg 0.813 0.938 0.500
10 Mg 0.938 0.438 0.125
11 In 0.250 0.250 0.000
12 In 0.750 0.750 0.000
13 Sn 0.250 0.750 0.500
14 Sn 0.750 0.250 0.500
15 Hg 0.140 0.360 0.500
16 Hg 0.360 0.860 0.220
17 Hg 0.640 0.140 0.780
18 Hg 0.860 0.640 0.500

Values from the calculation:
D(E_F): 7.7 states/eV per cell
Theoretical density: 5.68 g cm⁻³
Crystal system: tetragonal
M_tot: 0.0000 μB/atom
Energy relative to the elements: -0.059 eV per atom

=====

# 3
A relaxed structure of MgIn2SnHg6. Source: the Alexandria database, functional PBE.

Cell: 6.117 6.117 7.235 Å, 92.06 92.06 91.52°
Fractional coordinates of all 10 atoms:
1 Mg 0.000 0.000 0.000
2 In 0.347 0.347 0.876
3 In 0.653 0.653 0.124
4 Sn 0.500 0.500 0.500
5 Hg 0.137 0.635 0.225
6 Hg 0.146 0.146 0.385
7 Hg 0.365 0.863 0.775
8 Hg 0.635 0.137 0.225
9 Hg 0.854 0.854 0.615
10 Hg 0.863 0.365 0.775

Values from the calculation:
D(E_F): 3.2 states/eV per cell
Theoretical density: 9.68 g cm⁻³
Crystal system: monoclinic
M_tot: 0.0000 μB/atom
Energy relative to the elements: 0.012 eV per atom

=====

- Number 1 is which compound?
  MgInSnHg

=====

- What is the formula in the second record?
  Mg5InSnHg2